# 1
Density functional theory data (PBE) for Tl3Hg13 after structural relaxation.

Unit cell a=6.913 b=6.913 c=10.851 alpha=90.00 beta=90.00 gamma=119.93
Fractional positions:
Tl: 0.000 0.000 0.752
Tl: 0.332 0.668 0.000
Tl: 0.000 0.000 0.248
Hg: 0.997 0.498 0.744
Hg: 0.502 0.498 0.744
Hg: 0.502 0.003 0.744
Hg: 0.826 0.657 0.000
Hg: 0.343 0.174 0.000
Hg: 0.827 0.173 0.000
Hg: 0.997 0.498 0.256
Hg: 0.502 0.498 0.256
Hg: 0.502 0.003 0.256
Hg: 0.169 0.831 0.500
Hg: 0.663 0.830 0.500
Hg: 0.170 0.337 0.500
Hg: 0.667 0.333 0.500

Results
magnetic moment = 0.0 μB per cell
E above lowest polymorph = 0 meV per atom
Fermi-level density of states = 1.177 states/eV/cell

---

# 2
Density functional theory data (PBE) for DyPt6 after structural relaxation.

Unit cell a=5.355 b=9.514 c=9.715 alpha=90.00 beta=90.00 gamma=90.00
Fractional positions:
Dy: 0.750 0.282 0.951
Dy: 0.250 0.718 0.049
Dy: 0.750 0.782 0.549
Dy: 0.250 0.218 0.451
Pt: 0.750 0.575 0.013
Pt: 0.250 0.425 0.987
Pt: 0.750 0.075 0.487
Pt: 0.250 0.925 0.513
Pt: 0.004 0.460 0.241
Pt: 0.504 0.540 0.759
Pt: 0.496 0.960 0.259
Pt: 0.996 0.040 0.741
Pt: 0.996 0.540 0.759
Pt: 0.496 0.460 0.241
Pt: 0.504 0.040 0.741
Pt: 0.004 0.960 0.259
Pt: 0.250 0.210 0.165
Pt: 0.750 0.790 0.835
Pt: 0.250 0.710 0.335
Pt: 0.750 0.290 0.665
Pt: 0.250 0.791 0.767
Pt: 0.750 0.209 0.233
Pt: 0.250 0.291 0.733
Pt: 0.750 0.709 0.267
Pt: 0.250 0.505 0.519
Pt: 0.750 0.495 0.481
Pt: 0.250 0.005 0.981
Pt: 0.750 0.995 0.019

Results
magnetic moment = 0.0 μB per cell
E above lowest polymorph = 0 meV per atom
Fermi-level density of states = 28.963 states/eV/cell

---

# 3
Density functional theory data (PBE) for CaMnPb2 after structural relaxation.

Unit cell a=4.626 b=3.572 c=6.589 alpha=80.16 beta=90.00 gamma=90.00
Each line ends with the local moment (μB).
Fractional positions:
Pb: 0.000 0.885 0.982  -0.03
Pb: 0.000 0.615 0.518  -0.03
Ca: 0.500 0.250 0.250  -0.01
Mn: 0.500 0.750 0.750  3.82

Results
final energy = -4.620 eV/atom
magnetic moment = 4.0 μB per cell
Fermi-level density of states = 2.508 states/eV/cell

---

# 4
Density functional theory data (PBE) for SrAg2PdBr6 after structural relaxation.

Unit cell a=9.128 b=6.055 c=8.784 alpha=65.09 beta=51.31 gamma=64.15
Fractional positions:
Sr: 0.853 0.800 0.517
Ag: 0.398 0.595 0.502
Ag: 0.928 0.030 0.972
Pd: 0.352 0.324 0.003
Br: 0.652 0.209 0.317
Br: 0.255 0.944 0.268
Br: 0.008 0.560 0.169
Br: 0.438 0.704 0.737
Br: 0.697 0.086 0.835
Br: 0.080 0.410 0.696

Results
magnetic moment = 0.0 μB per cell
energy relative to the elements, uncorrected = -0.80 eV per atom

---

# 5
Density functional theory data (PBE) for DyInIr2 after structural relaxation.

Unit cell a=3.418 b=3.418 c=6.390 alpha=90.00 beta=90.00 gamma=90.00
Fractional positions:
Ir: 0.000 0.000 0.765
Ir: 0.000 0.000 0.235
In: 0.500 0.500 0.000
Dy: 0.500 0.500 0.500

Results
final energy = -6.707 eV/atom
magnetic moment = 0.0 μB per cell
Fermi-level density of states = 2.677 states/eV/cell

---

# 6
Density functional theory data (PBE) for YTiMnSi2 after structural relaxation.

Unit cell a=3.925 b=3.925 c=6.167 alpha=108.55 beta=108.55 gamma=90.00
Each line ends with the local moment (μB).
Fractional positions:
Y: 0.000 0.000 0.000  -0.04
Ti: 0.250 0.750 0.500  -0.43
Mn: 0.750 0.250 0.500  1.89
Si: 0.610 0.610 0.219  -0.03
Si: 0.390 0.390 0.781  -0.03

Results
magnetic moment = 1.3 μB per cell
energy relative to the elements, uncorrected = -0.67 eV per atom
Fermi-level density of states = 2.587 states/eV/cell

---

# 7
Density functional theory data (PBE) for NaGd3Ti2Sb2O14 after structural relaxation.

Unit cell a=7.310 b=7.310 c=7.264 alpha=60.65 beta=60.65 gamma=60.84
Each line ends with the local moment (μB).
Fractional positions:
Na: 0.000 0.000 0.000  0.00
Gd: 0.000 0.000 0.500  6.92
Gd: 0.500 0.000 0.000  6.92
Gd: 0.000 0.500 0.000  6.92
Ti: 0.500 0.500 0.500  0.00
Ti: 0.500 0.500 0.000  0.00
Sb: 0.000 0.500 0.500  0.00
Sb: 0.500 0.000 0.500  0.00
O: 0.868 0.868 0.871  0.02
O: 0.132 0.132 0.129  0.02
O: 0.570 0.570 0.183  0.00
O: 0.171 0.171 0.574  0.00
O: 0.176 0.577 0.577  0.00
O: 0.562 0.178 0.177  0.00
O: 0.178 0.562 0.177  0.00
O: 0.577 0.176 0.577  0.00
O: 0.430 0.430 0.817  0.00
O: 0.829 0.829 0.426  0.00
O: 0.824 0.423 0.423  0.00
O: 0.438 0.822 0.823  0.00
O: 0.822 0.438 0.823  0.00
O: 0.423 0.824 0.423  0.00

Results
magnetic moment = 21.0 μB per cell
E above lowest polymorph = 4 meV per atom
energy relative to the elements, uncorrected = -2.68 eV per atom
Fermi-level density of states = 0.000 states/eV/cell

---

# 8
Density functional theory data (PBE) for Pm4GaSeBr2 after structural relaxation.

Unit cell a=4.290 b=7.621 c=7.311 alpha=70.62 beta=90.00 gamma=90.00
Fractional positions:
Pm: 0.000 0.716 0.767
Pm: 0.000 0.284 0.233
Pm: 0.500 0.712 0.257
Pm: 0.500 0.288 0.743
Ga: 0.500 0.500 0.000
Se: 0.000 0.500 0.500
Br: 0.000 0.000 0.000
Br: 0.500 0.000 0.500

Results
magnetic moment = 0.0 μB per cell
energy relative to the elements, uncorrected = -1.21 eV per atom
Fermi-level density of states = 4.184 states/eV/cell

---

magnetic moment of number 8 (Pm4GaSeBr2)? 0.0 μB per cell

---

What is the formula in the fourth record? SrAg2PdBr6

---

What is the magnetic moment in the seventh record? 21.0 μB per cell